Record 1
The following is a DFT calculation (PBE) of a geometry-optimized Ac2La4H2Pb3 structure.

Structure (CIF):
```
data_Ac2La4H2Pb3
_symmetry_space_group_name_H-M 'I 4/m m m'
_symmetry_Int_Tables_number 139
_symmetry_space_group_name_Hall '-I 4 2'
_cell_length_a 5.0085
_cell_length_b 5.0085
_cell_length_c 27.1156
_cell_angle_alpha 90.00
_cell_angle_beta 90.00
_cell_angle_gamma 90.00
loop_
_atom_site_label
_atom_site_type_symbol
_atom_site_fract_x
_atom_site_fract_y
_atom_site_fract_z
_atom_site_occupancy
Ac1 Ac 0.0000 0.0000 0.2006 1
La1 La 0.0000 0.5000 0.0810 1
H1 H 0.0000 0.0000 0.1004 1
Pb1 Pb 0.0000 0.0000 0.3295 1
Pb2 Pb 0.0000 0.0000 0.5000 1
```

Output
The calculation puts the total moment at 0.786 μB per formula unit. As for the crystal system: tetragonal. Its density is 7.974 g/cm3. As for the total energy: -4.6460 eV per atom.



Record 2
The following is a DFT calculation (PBE) of a geometry-optimized CdFeBr2 structure.

Structure (CIF):
```
data_CdFeBr2
_symmetry_space_group_name_H-M 'I m m m'
_symmetry_Int_Tables_number 71
_symmetry_space_group_name_Hall '-I 2 2'
_cell_length_a 3.3954
_cell_length_b 5.0137
_cell_length_c 13.6087
_cell_angle_alpha 90.00
_cell_angle_beta 90.00
_cell_angle_gamma 90.00
loop_
_atom_site_label
_atom_site_type_symbol
_atom_site_fract_x
_atom_site_fract_y
_atom_site_fract_z
_atom_site_occupancy
Cd1 Cd 0.0000 0.0000 0.0000 1
Fe1 Fe 0.0000 0.0000 0.5000 1
Br1 Br 0.0000 0.5000 0.1423 1
```

Output
The calculation puts the total moment at 3.639 μB per formula unit. The value obtained for the relative energy among the computed polymorphs is 8 kJ/mol of formula units. As for the crystal system: orthorhombic. Its density is 4.703 g/cm3. As for the total energy: -3.2786 eV per atom.



Record 3
The following is a DFT calculation (PBE) of a geometry-optimized Li6YCd2 structure.

Structure (CIF):
```
data_Li6YCd2
_symmetry_space_group_name_H-M 'P 4/m m m'
_symmetry_Int_Tables_number 123
_symmetry_space_group_name_Hall '-P 4 2'
_cell_length_a 4.1306
_cell_length_b 4.1306
_cell_length_c 11.2614
_cell_angle_alpha 90.00
_cell_angle_beta 90.00
_cell_angle_gamma 90.00
loop_
_atom_site_label
_atom_site_type_symbol
_atom_site_fract_x
_atom_site_fract_y
_atom_site_fract_z
_atom_site_occupancy
Li1 Li 0.0000 0.0000 0.0000 1
Li2 Li 0.0000 0.5000 0.2036 1
Li3 Li 0.5000 0.5000 0.0000 1
Y1 Y 0.0000 0.0000 0.5000 1
Cd1 Cd 0.5000 0.5000 0.3691 1
```

Output
The calculation puts the total moment at 0.002 μB per formula unit. As for the crystal system: tetragonal. Its density is 3.071 g/cm3. As for the total energy: -2.2967 eV per atom.



Record 4
The following is a DFT calculation (PBE) of a geometry-optimized Ac3EuF structure.

Structure (CIF):
```
data_Ac3EuF
_symmetry_space_group_name_H-M 'P m -3 m'
_symmetry_Int_Tables_number 221
_symmetry_space_group_name_Hall '-P 4 2 3'
_cell_length_a 5.6080
_cell_length_b 5.6080
_cell_length_c 5.6080
_cell_angle_alpha 90.00
_cell_angle_beta 90.00
_cell_angle_gamma 90.00
loop_
_atom_site_label
_atom_site_type_symbol
_atom_site_fract_x
_atom_site_fract_y
_atom_site_fract_z
_atom_site_occupancy
Ac1 Ac 0.0000 0.0000 0.5000 1
Eu1 Eu 0.5000 0.5000 0.5000 1
F1 F 0.0000 0.0000 0.0000 1
```

Output
The calculation puts the total moment at 7.375 μB per formula unit. As for the crystal system: cubic. Its density is 8.021 g/cm3. As for the total energy: -5.8539 eV per atom.



Record 5
The following is a DFT calculation (PBE) of a geometry-optimized KRb12Hg6 structure.

Structure (CIF):
```
data_KRb12Hg6
_symmetry_space_group_name_H-M 'I m -3'
_symmetry_Int_Tables_number 204
_symmetry_space_group_name_Hall '-I 2 2 3'
_cell_length_a 13.2426
_cell_length_b 13.2426
_cell_length_c 13.2426
_cell_angle_alpha 90.00
_cell_angle_beta 90.00
_cell_angle_gamma 90.00
loop_
_atom_site_label
_atom_site_type_symbol
_atom_site_fract_x
_atom_site_fract_y
_atom_site_fract_z
_atom_site_occupancy
K1 K 0.0000 0.0000 0.0000 1
Rb1 Rb 0.0000 0.1863 0.3079 1
Hg1 Hg 0.0000 0.3872 0.5000 1
```

Output
The calculation puts the total moment at 0.000 μB per formula unit. As for the crystal system: cubic. Its density is 3.244 g/cm3. As for the total energy: -0.9053 eV per atom.



Record 6
The following is a DFT calculation (PBE) of a geometry-optimized Y2ZrSe structure.

Structure (CIF):
```
data_Y2ZrSe
_symmetry_space_group_name_H-M 'P 4 m m'
_symmetry_Int_Tables_number 99
_cell_length_a 3.5535
_cell_length_b 3.5535
_cell_length_c 8.1351
_cell_angle_alpha 90.00
_cell_angle_beta 90.00
_cell_angle_gamma 90.00
loop_
_symmetry_equiv_pos_as_xyz
'x,y,z'
'-y,x,z'
'-x,-y,z'
'y,-x,z'
'-x,y,z'
'y,x,z'
'x,-y,z'
'-y,-x,z'
loop_
_atom_site_label
_atom_site_type_symbol
_atom_site_fract_x
_atom_site_fract_y
_atom_site_fract_z
_atom_site_occupancy
Y1 Y 0.0000 0.0000 0.0000 1
Y2 Y 0.5000 0.5000 0.3218 1
Zr1 Zr 0.0000 0.0000 0.5912 1
Se1 Se 0.5000 0.5000 0.7489 1
```

Output
The calculation puts the total moment at 0.000 μB per formula unit. As for the crystal system: tetragonal. Its density is 5.625 g/cm3. As for the total energy: -6.8142 eV per atom.



Record 7
The following is a DFT calculation (PBE) of a geometry-optimized ZrNbSb2W structure.

Structure (CIF):
```
data_ZrNbSb2W
_symmetry_space_group_name_H-M 'P 4/m m m'
_symmetry_Int_Tables_number 123
_symmetry_space_group_name_Hall '-P 4 2'
_cell_length_a 5.3673
_cell_length_b 5.3673
_cell_length_c 4.9532
_cell_angle_alpha 90.00
_cell_angle_beta 90.00
_cell_angle_gamma 90.00
loop_
_atom_site_label
_atom_site_type_symbol
_atom_site_fract_x
_atom_site_fract_y
_atom_site_fract_z
_atom_site_occupancy
Zr1 Zr 0.0000 0.0000 0.0000 1
Nb1 Nb 0.0000 0.0000 0.5000 1
Sb1 Sb 0.0000 0.5000 0.0000 1
W1 W 0.5000 0.5000 0.5000 1
```

Output
The calculation puts the total moment at 2.376 μB per formula unit. As for the crystal system: tetragonal. Its density is 7.116 g/cm3. As for the total energy: -6.1733 eV per atom.



Record 8
The following is a DFT calculation (PBE) of a geometry-optimized LaPaAsO2 structure.

Structure (CIF):
```
data_LaPaAsO2
_symmetry_space_group_name_H-M 'I 4 m m'
_symmetry_Int_Tables_number 107
_symmetry_space_group_name_Hall 'I 4 -2'
_cell_length_a 3.8702
_cell_length_b 3.8702
_cell_length_c 12.5815
_cell_angle_alpha 90.00
_cell_angle_beta 90.00
_cell_angle_gamma 90.00
loop_
_atom_site_label
_atom_site_type_symbol
_atom_site_fract_x
_atom_site_fract_y
_atom_site_fract_z
_atom_site_occupancy
La1 La 0.0000 0.0000 0.0000 1
Pa1 Pa 0.0000 0.0000 0.7143 1
As1 As 0.0000 0.0000 0.3532 1
O1 O 0.0000 0.5000 0.1204 1
```

Output
The calculation puts the total moment at 0.964 μB per formula unit. As for the crystal system: tetragonal. Its density is 8.404 g/cm3. As for the total energy: -8.4787 eV per atom.



Record 9
The following is a DFT calculation (PBE) of a geometry-optimized Pa2AlGeN5 structure.

Structure (CIF):
```
data_Pa2AlGeN5
_symmetry_space_group_name_H-M 'C m c 21'
_symmetry_Int_Tables_number 36
_cell_length_a 3.2073
_cell_length_b 13.4830
_cell_length_c 10.0238
_cell_angle_alpha 90.00
_cell_angle_beta 90.00
_cell_angle_gamma 90.00
loop_
_symmetry_equiv_pos_as_xyz
'x,y,z'
'-x,-y,z+1/2'
'-x,y,z'
'x,-y,z+1/2'
'x+1/2,y+1/2,z'
'-x+1/2,-y+1/2,z+1/2'
'-x+1/2,y+1/2,z'
'x+1/2,-y+1/2,z+1/2'
loop_
_atom_site_label
_atom_site_type_symbol
_atom_site_fract_x
_atom_site_fract_y
_atom_site_fract_z
_atom_site_occupancy
Pa1 Pa 0.0000 0.1145 0.0000 1
Pa2 Pa 0.0000 0.1440 0.6330 1
Al1 Al 0.0000 0.2142 0.3426 1
Ge1 Ge 0.0000 0.4478 0.7750 1
N1 N 0.0000 0.0553 0.3748 1
N2 N 0.0000 0.2838 0.9871 1
N3 N 0.0000 0.3116 0.7138 1
N4 N 0.0000 0.3583 0.3266 1
N5 N 0.0000 0.4935 0.1073 1
```

Output
The calculation puts the total moment at 1.045 μB per formula unit. As for the crystal system: orthorhombic. Its density is 9.680 g/cm3. As for the total energy: -8.6298 eV per atom.



Record 10
The following is a DFT calculation (PBE) of a geometry-optimized CaRe2Mo structure.

Structure (CIF):
```
data_CaRe2Mo
_symmetry_space_group_name_H-M 'R 3 m'
_symmetry_Int_Tables_number 160
_symmetry_space_group_name_Hall 'R 3 -2"'
_cell_length_a 2.8595
_cell_length_b 2.8595
_cell_length_c 29.4268
_cell_angle_alpha 90.00
_cell_angle_beta 90.00
_cell_angle_gamma 120.00
loop_
_atom_site_label
_atom_site_type_symbol
_atom_site_fract_x
_atom_site_fract_y
_atom_site_fract_z
_atom_site_occupancy
Ca1 Ca 0.0000 0.0000 0.0000 1
Re1 Re 0.0000 0.0000 0.2432 1
Re2 Re 0.0000 0.0000 0.5044 1
Mo1 Mo 0.0000 0.0000 0.7603 1
```

Output
The calculation puts the total moment at 0.001 μB per formula unit. The value obtained for the relative energy among the computed polymorphs is 49 kJ/mol of formula units. As for the crystal system: trigonal. Its density is 12.155 g/cm3. As for the total energy: -8.8413 eV per atom.



Record 11
The following is a DFT calculation (PBE) of a geometry-optimized CaAcHg structure.

Structure (CIF):
```
data_CaAcHg
_symmetry_space_group_name_H-M 'F -4 3 m'
_symmetry_Int_Tables_number 216
_symmetry_space_group_name_Hall 'F -4 2 3'
_cell_length_a 7.6942
_cell_length_b 7.6942
_cell_length_c 7.6942
_cell_angle_alpha 90.00
_cell_angle_beta 90.00
_cell_angle_gamma 90.00
loop_
_atom_site_label
_atom_site_type_symbol
_atom_site_fract_x
_atom_site_fract_y
_atom_site_fract_z
_atom_site_occupancy
Ca1 Ca 0.0000 0.0000 0.0000 1
Ac1 Ac 0.0000 0.0000 0.5000 1
Hg1 Hg 0.2500 0.2500 0.7500 1
```

Output
The calculation puts the total moment at 0.004 μB per formula unit. The value obtained for the relative energy among the computed polymorphs is 24 kJ/mol of formula units. As for the crystal system: cubic. Its density is 6.820 g/cm3. As for the total energy: -2.3759 eV per atom.



Record 12
The following is a DFT calculation (PBE) of a geometry-optimized Ba2TmCu3O7 structure.

Structure (CIF):
```
data_Ba2TmCu3O7
_symmetry_space_group_name_H-M 'P m m m'
_symmetry_Int_Tables_number 47
_cell_length_a 3.8205
_cell_length_b 3.9053
_cell_length_c 11.8163
_cell_angle_alpha 90.00
_cell_angle_beta 90.00
_cell_angle_gamma 90.00
loop_
_symmetry_equiv_pos_as_xyz
'x,y,z'
'-x,-y,-z'
'-x,-y,z'
'x,y,-z'
'x,-y,-z'
'-x,y,z'
'-x,y,-z'
'x,-y,z'
loop_
_atom_site_label
_atom_site_type_symbol
_atom_site_fract_x
_atom_site_fract_y
_atom_site_fract_z
_atom_site_occupancy
Ba1 Ba 0.0000 0.0000 0.1813 1
Tm1 Tm 0.0000 0.0000 0.5000 1
Cu1 Cu 0.5000 0.5000 0.0000 1
Cu2 Cu 0.5000 0.5000 0.3554 1
O1 O 0.0000 0.5000 0.3833 1
O2 O 0.5000 0.0000 0.0000 1
O3 O 0.5000 0.0000 0.3817 1
O4 O 0.5000 0.5000 0.1592 1
```

Output
The calculation puts the total moment at 0.000 μB per formula unit. As for the crystal system: orthorhombic. Its density is 7.029 g/cm3. As for the total energy: -6.0730 eV per atom.



Q: total moment of number 4 (Ac3EuF)?
A: 7.375 μB per formula unit



Q: Which value of total moment does entry 12 give?
A: 0.000 μB per formula unit



What did the eleventh record say?
The following is a DFT calculation (PBE) of a geometry-optimized CaAcHg structure.

Structure (CIF):
```
data_CaAcHg
_symmetry_space_group_name_H-M 'F -4 3 m'
_symmetry_Int_Tables_number 216
_symmetry_space_group_name_Hall 'F -4 2 3'
_cell_length_a 7.6942
_cell_length_b 7.6942
_cell_length_c 7.6942
_cell_angle_alpha 90.00
_cell_angle_beta 90.00
_cell_angle_gamma 90.00
loop_
_atom_site_label
_atom_site_type_symbol
_atom_site_fract_x
_atom_site_fract_y
_atom_site_fract_z
_atom_site_occupancy
Ca1 Ca 0.0000 0.0000 0.0000 1
Ac1 Ac 0.0000 0.0000 0.5000 1
Hg1 Hg 0.2500 0.2500 0.7500 1
```

Output
The calculation puts the total moment at 0.004 μB per formula unit. The value obtained for the relative energy among the computed polymorphs is 24 kJ/mol of formula units. As for the crystal system: cubic. Its density is 6.820 g/cm3. As for the total energy: -2.3759 eV per atom.